Compound: Sr4P5Pd5
Source: OQMD
Functional: PBE
Structure: relaxed

* crystal system: orthorhombic
* electronic total energy: -5.218 eV per atom

CIF file:
```
data_Sr4P5Pd5
_cell_length_a 4.2048
_cell_length_b 31.5736
_cell_length_c 8.6846
_cell_angle_alpha 90.00
_cell_angle_beta 90.00
_cell_angle_gamma 90.00
_symmetry_space_group_name_H-M 'C m c m'
_symmetry_Int_Tables_number 63
_symmetry_space_group_name_Hall '-C 2c 2'
loop_
_atom_site_label
_atom_site_type_symbol
_atom_site_fract_x
_atom_site_fract_y
_atom_site_fract_z
Sr1 Sr 0.0000 0.0790 0.9995
Sr2 Sr 0.0000 0.3064 0.0044
P1 P 0.0000 0.1561 0.7500
P2 P 0.0000 0.1570 0.2500
P3 P 0.0000 0.2290 0.2500
P4 P 0.0000 0.4565 0.7500
P5 P 0.0000 0.4575 0.2500
Pd1 Pd 0.0000 0.0000 0.2500
Pd2 Pd 0.0000 0.2336 0.7500
Pd3 Pd 0.0000 0.3799 0.7500
Pd4 Pd 0.0000 0.3814 0.2500
Pd5 Pd 0.0000 0.5000 0.0000
```

***

Compound: LiTbSb2
Source: OQMD
Functional: PBE
Structure: relaxed

* magnetic moment: 0.0 μB per cell
* crystal system: tetragonal
* electronic total energy: -4.500 eV per atom

CIF file:
```
data_LiTbSb2
_cell_length_a 4.2707
_cell_length_b 4.2707
_cell_length_c 10.7105
_cell_angle_alpha 90.00
_cell_angle_beta 90.00
_cell_angle_gamma 90.00
_symmetry_space_group_name_H-M 'P 4/n m m'
_symmetry_Int_Tables_number 129
loop_
_symmetry_equiv_pos_as_xyz
'x,y,z'
'-x,-y,-z'
'-y+1/2,x,z'
'y+1/2,-x,-z'
'-x+1/2,-y+1/2,z'
'x+1/2,y+1/2,-z'
'y,-x+1/2,z'
'-y,x+1/2,-z'
'x+1/2,-y,-z'
'-x+1/2,y,z'
'-y,-x,-z'
'y,x,z'
'-x,y+1/2,-z'
'x,-y+1/2,z'
'y+1/2,x+1/2,-z'
'-y+1/2,-x+1/2,z'
loop_
_atom_site_label
_atom_site_type_symbol
_atom_site_fract_x
_atom_site_fract_y
_atom_site_fract_z
Li1 Li 0.2500 0.7500 0.0000
Tb1 Tb 0.2500 0.2500 0.2678
Sb1 Sb 0.2500 0.2500 0.8311
Sb2 Sb 0.2500 0.7500 0.5000
```

***

Compound: Co3Re2
Source: OQMD
Functional: PBE
Structure: relaxed

* magnetic moment: 1.8 μB per cell
* crystal system: tetragonal
* electronic total energy: -9.072 eV per atom
* energy of formation: 0.161 eV per atom
* energy above the most stable polymorph in this dataset: 0.080 eV/atom

CIF file:
```
data_Co3Re2
_cell_length_a 8.7481
_cell_length_b 8.7481
_cell_length_c 4.7803
_cell_angle_alpha 90.00
_cell_angle_beta 90.00
_cell_angle_gamma 90.00
_symmetry_space_group_name_H-M 'P 42/m n m'
_symmetry_Int_Tables_number 136
_symmetry_space_group_name_Hall '-P 4n 2n'
loop_
_atom_site_label
_atom_site_type_symbol
_atom_site_fract_x
_atom_site_fract_y
_atom_site_fract_z
Co1 Co 0.0000 0.0000 0.0000
Co2 Co 0.0358 0.3702 0.5000
Co3 Co 0.0644 0.2625 0.0000
Re1 Re 0.1034 0.1034 0.5000
Re2 Re 0.1861 0.8139 0.2501
```

***

Compound: NdGdGe
Source: OQMD
Functional: PBE
Structure: relaxed

* magnetic moment: 5.8 μB per cell
* crystal system: cubic
* electronic total energy: -4.384 eV per atom

CIF file:
```
data_NdGdGe
_cell_length_a 7.1077
_cell_length_b 7.1077
_cell_length_c 7.1077
_cell_angle_alpha 90.00
_cell_angle_beta 90.00
_cell_angle_gamma 90.00
_symmetry_space_group_name_H-M 'F -4 3 m'
_symmetry_Int_Tables_number 216
_symmetry_space_group_name_Hall 'F -4 2 3'
loop_
_atom_site_label
_atom_site_type_symbol
_atom_site_fract_x
_atom_site_fract_y
_atom_site_fract_z
Nd1 Nd 0.0000 0.0000 0.0000
Gd1 Gd 0.2500 0.2500 0.7500
Ge1 Ge 0.0000 0.0000 0.5000
```

***

Compound: LiPrPu
Source: OQMD
Functional: PBE
Structure: relaxed

* magnetic moment: 29.2 μB per cell
* crystal system: cubic
* electronic total energy: -6.360 eV per atom
* energy above the most stable polymorph in this dataset: 0.000 eV/atom

CIF file:
```
data_LiPrPu
_cell_length_a 7.0528
_cell_length_b 7.0528
_cell_length_c 7.0528
_cell_angle_alpha 90.00
_cell_angle_beta 90.00
_cell_angle_gamma 90.00
_symmetry_space_group_name_H-M 'F -4 3 m'
_symmetry_Int_Tables_number 216
_symmetry_space_group_name_Hall 'F -4 2 3'
loop_
_atom_site_label
_atom_site_type_symbol
_atom_site_fract_x
_atom_site_fract_y
_atom_site_fract_z
Li1 Li 0.0000 0.0000 0.0000
Pr1 Pr 0.2500 0.2500 0.7500
Pu1 Pu 0.2500 0.2500 0.2500
```

***

Compound: CsTcAgSe3
Source: OQMD
Functional: PBE
Structure: relaxed

* magnetic moment: 10.6 μB per cell
* crystal system: orthorhombic
* electronic total energy: -4.452 eV per atom
* energy above the most stable polymorph in this dataset: 0.044 eV/atom

CIF file:
```
data_CsTcAgSe3
_cell_length_a 14.2317
_cell_length_b 3.8957
_cell_length_c 11.9290
_cell_angle_alpha 90.00
_cell_angle_beta 90.00
_cell_angle_gamma 90.00
_symmetry_space_group_name_H-M 'P n m a'
_symmetry_Int_Tables_number 62
_symmetry_space_group_name_Hall '-P 2ac 2n'
loop_
_atom_site_label
_atom_site_type_symbol
_atom_site_fract_x
_atom_site_fract_y
_atom_site_fract_z
Cs1 Cs 0.1577 0.2500 0.0380
Tc1 Tc 0.0326 0.7500 0.6322
Ag1 Ag 0.2213 0.7500 0.2820
Se1 Se 0.0445 0.7500 0.2551
Se2 Se 0.1038 0.2500 0.5136
Se3 Se 0.1585 0.7500 0.7772
```

***

Compound: KMgPa
Source: OQMD
Functional: PBE
Structure: relaxed

* magnetic moment: 11.0 μB per cell
* crystal system: cubic
* electronic total energy: -2.328 eV per atom
* energy above the most stable polymorph in this dataset: 0.000 eV/atom

CIF file:
```
data_KMgPa
_cell_length_a 7.9483
_cell_length_b 7.9483
_cell_length_c 7.9483
_cell_angle_alpha 90.00
_cell_angle_beta 90.00
_cell_angle_gamma 90.00
_symmetry_space_group_name_H-M 'F -4 3 m'
_symmetry_Int_Tables_number 216
_symmetry_space_group_name_Hall 'F -4 2 3'
loop_
_atom_site_label
_atom_site_type_symbol
_atom_site_fract_x
_atom_site_fract_y
_atom_site_fract_z
K1 K 0.0000 0.0000 0.0000
Mg1 Mg 0.0000 0.0000 0.5000
Pa1 Pa 0.2500 0.2500 0.2500
```

***

Compound: Zn4Sn3
Source: OQMD
Functional: PBE
Structure: relaxed

* crystal system: hexagonal
* electronic total energy: -2.300 eV per atom
* energy above the most stable polymorph in this dataset: 0.002 eV/atom

CIF file:
```
data_Zn4Sn3
_cell_length_a 8.3162
_cell_length_b 8.3162
_cell_length_c 4.9360
_cell_angle_alpha 90.00
_cell_angle_beta 90.00
_cell_angle_gamma 120.00
_symmetry_space_group_name_H-M 'P 63/m'
_symmetry_Int_Tables_number 176
_symmetry_space_group_name_Hall '-P 6c'
loop_
_atom_site_label
_atom_site_type_symbol
_atom_site_fract_x
_atom_site_fract_y
_atom_site_fract_z
Zn1 Zn 0.1212 0.5071 0.2500
Zn2 Zn 0.3333 0.6667 0.7500
Sn1 Sn 0.0668 0.2739 0.7500
```

***

Compound: NaSmCoS3
Source: OQMD
Functional: PBE
Structure: relaxed

* magnetic moment: 0.4 μB per cell
* crystal system: monoclinic
* electronic total energy: -5.461 eV per atom
* energy above the most stable polymorph in this dataset: 0.000 eV/atom

CIF file:
```
data_NaSmCoS3
_cell_length_a 7.9589
_cell_length_b 3.8832
_cell_length_c 9.0624
_cell_angle_alpha 90.00
_cell_angle_beta 101.13
_cell_angle_gamma 90.00
_symmetry_space_group_name_H-M 'P 1 21/m 1'
_symmetry_Int_Tables_number 11
_symmetry_space_group_name_Hall '-P 2yb'
loop_
_atom_site_label
_atom_site_type_symbol
_atom_site_fract_x
_atom_site_fract_y
_atom_site_fract_z
Na1 Na 0.2033 0.2500 0.2369
Sm1 Sm 0.3180 0.7500 0.8561
Co1 Co 0.0766 0.2500 0.5832
S1 S 0.0691 0.2500 0.8348
S2 S 0.1889 0.7500 0.5330
S3 S 0.4351 0.7500 0.1638
```

***

Compound: Li6SmBr8
Source: OQMD
Functional: PBE
Structure: relaxed

* magnetic moment: 4.0 μB per cell
* crystal system: cubic
* electronic total energy: -3.436 eV per atom

CIF file:
```
data_Li6SmBr8
_cell_length_a 11.1069
_cell_length_b 11.1069
_cell_length_c 11.1069
_cell_angle_alpha 90.00
_cell_angle_beta 90.00
_cell_angle_gamma 90.00
_symmetry_space_group_name_H-M 'F m -3 m'
_symmetry_Int_Tables_number 225
_symmetry_space_group_name_Hall '-F 4 2 3'
loop_
_atom_site_label
_atom_site_type_symbol
_atom_site_fract_x
_atom_site_fract_y
_atom_site_fract_z
Li1 Li 0.0000 0.2500 0.2500
Sm1 Sm 0.0000 0.0000 0.0000
Br1 Br 0.0000 0.0000 0.2611
Br2 Br 0.2500 0.2500 0.2500
```

***

Compound: ScGaFeHg
Source: OQMD
Functional: PBE
Structure: relaxed

* magnetic moment: 7.1 μB per cell
* crystal system: cubic
* electronic total energy: -4.496 eV per atom
* energy above the most stable polymorph in this dataset: 0.095 eV/atom

CIF file:
```
data_ScGaFeHg
_cell_length_a 6.5262
_cell_length_b 6.5262
_cell_length_c 6.5262
_cell_angle_alpha 90.00
_cell_angle_beta 90.00
_cell_angle_gamma 90.00
_symmetry_space_group_name_H-M 'F -4 3 m'
_symmetry_Int_Tables_number 216
_symmetry_space_group_name_Hall 'F -4 2 3'
loop_
_atom_site_label
_atom_site_type_symbol
_atom_site_fract_x
_atom_site_fract_y
_atom_site_fract_z
Sc1 Sc 0.0000 0.0000 0.0000
Ga1 Ga 0.0000 0.0000 0.5000
Fe1 Fe 0.2500 0.2500 0.7500
Hg1 Hg 0.2500 0.2500 0.2500
```

***

Compound: Co2Se
Source: OQMD
Functional: PBE
Structure: relaxed

* magnetic moment: 0.6 μB per cell
* crystal system: cubic
* electronic total energy: -5.838 eV per atom
* energy above the most stable polymorph in this dataset: 0.000 eV/atom

CIF file:
```
data_Co2Se
_cell_length_a 5.3887
_cell_length_b 5.3887
_cell_length_c 5.3887
_cell_angle_alpha 90.00
_cell_angle_beta 90.00
_cell_angle_gamma 90.00
_symmetry_space_group_name_H-M 'F m -3 m'
_symmetry_Int_Tables_number 225
_symmetry_space_group_name_Hall '-F 4 2 3'
loop_
_atom_site_label
_atom_site_type_symbol
_atom_site_fract_x
_atom_site_fract_y
_atom_site_fract_z
Co1 Co 0.2500 0.2500 0.2500
Se1 Se 0.0000 0.0000 0.0000
```